Material: Li4PtPbO6
Method: DFT, PBE
State: optimized geometry

Structure (extended XYZ):
```
12
Lattice="-2.6748 -4.6493 -0.0168 -2.6748 4.6493 -0.0168 1.7849 0.0000 -4.8949" Properties=species:S:1:pos:R:3 pbc="T T T"
Li -2.6748 -0.0069 -0.0168
Li -1.7824 -4.4649 -2.4643
O -2.7374 0.1018 -3.7193
O 0.1056 1.5423 -3.7403
Li -1.7824 -1.5885 -2.4643
O -3.6704 1.5423 -1.1882
Pb -2.6748 3.1108 -0.0168
O -0.8274 0.1018 -1.2092
O -3.4902 -1.6618 -1.2143
Pt -2.6748 -3.1022 -0.0168
Li -1.7824 1.4378 -2.4643
O -0.0746 -1.6618 -3.7142
```

Properties
* uncorrected energy: -5.33 eV/atom
* calculated volume: 122.0 Å³/f.u.

Material: Li4RePbO6
Method: DFT, PBE
State: optimized geometry

Structure (extended XYZ):
```
12
Lattice="3.5846 4.3025 -0.0420 -4.2150 -0.2554 -3.6784 -2.6011 1.0586 4.2521" Properties=species:S:1:pos:R:3 pbc="T T T"
O 0.1282 4.1188 -1.3867
O -0.5683 1.3410 0.2655
O -0.9366 2.4028 3.0481
Li -0.4191 3.2521 0.8238
O -2.5348 2.2639 -2.2602
O -3.6034 1.1430 1.4367
Li -2.9686 1.7622 -0.3649
Re -2.9117 0.5062 -3.0708
Pb 2.3191 3.5629 -0.6320
Li -0.3127 2.0250 -1.8590
O -2.2281 4.0188 0.4690
Li -5.3508 0.3701 -1.4755
```

Properties
* uncorrected energy: -6.09 eV/atom
* calculated volume: 128.6 Å³/f.u.

Material: LiRePb2O6
Method: DFT, PBE
State: optimized geometry

Structure (extended XYZ):
```
10
Lattice="-0.5526 -3.7967 4.0663 -3.4909 -4.3164 -0.6614 2.0357 -5.1599 -0.6979" Properties=species:S:1:pos:R:3 pbc="T T T"
O 0.1887 -7.7491 2.3197
Li 0.0000 0.0000 0.0000
O -2.1965 -5.5240 0.3873
O 0.4536 -5.9285 0.3698
Pb -0.5020 -3.3183 0.6767
Pb -1.5059 -9.9548 2.0303
O -0.7875 -5.2748 2.6544
O -1.2203 -7.9983 0.0526
Re -1.0039 -6.6365 1.3535
O -2.4614 -7.3446 2.3372
```

Properties
* uncorrected energy: -6.60 eV/atom
* calculated volume: 123.6 Å³/f.u.

Material: LiTaPbO5
Method: DFT, PBE
State: optimized geometry

Structure (extended XYZ):
```
16
Lattice="3.8550 -4.2193 0.0000 3.8550 4.2193 0.0000 -3.7820 0.0000 6.7009" Properties=species:S:1:pos:R:3 pbc="T T T"
O 1.5936 -2.2615 3.3669
O -0.2158 0.3801 4.3646
Pb 2.9095 1.1554 1.6752
O 1.6752 -0.3801 1.0141
Ta -1.8910 0.0000 3.3505
Li 2.9095 -1.7995 1.6752
O 2.2529 0.3801 5.6868
O 2.9095 -3.8533 1.6752
O 3.4846 2.2615 0.0165
O 0.4435 -2.2615 6.6845
O 4.1438 -0.3801 2.3364
Li 1.0185 1.7995 5.0257
Ta 0.0000 0.0000 0.0000
O 1.0185 3.8533 5.0257
Pb 1.0185 -1.1554 5.0257
O 2.3345 2.2615 3.3340
```

Properties
* uncorrected energy: -7.18 eV/atom
* calculated volume: 109.0 Å³/f.u.

Material: Li2Pd2O5
Method: DFT, PBE
State: optimized geometry

Structure (extended XYZ):
```
9
Lattice="-6.2220 -3.3065 2.5929 2.1188 -2.4528 1.9565 -0.0146 2.3531 2.9659" Properties=species:S:1:pos:R:3 pbc="T T T"
O -4.0828 -3.9591 3.1211
Li 0.0000 0.0000 0.0000
Li -3.1110 -1.6533 1.2964
O -1.0871 0.6027 1.9329
O -0.0204 -1.8003 1.4282
Pd -0.4015 -0.8223 3.0669
O -2.0589 -1.7031 3.7576
Pd -3.7163 -2.5839 4.4483
O -5.1495 -1.5561 3.6258
```

Properties
* offset from the most stable computed form: 27 meV/atom
* calculated volume: 107.6 Å³/f.u.

Material: LiPd2O6
Method: DFT, PBE
State: optimized geometry

Structure (extended XYZ):
```
9
Lattice="-2.5704 -4.4143 0.1206 -2.5704 4.4143 0.1206 1.9705 0.0000 -4.6525" Properties=species:S:1:pos:R:3 pbc="T T T"
Pd -2.5704 2.9225 0.1206
O -2.5048 0.0000 -3.3045
O 0.3800 1.5542 -3.4945
O -0.6653 0.0000 -1.1069
Pd -2.5704 -2.9225 0.1206
O -3.5502 1.5542 -0.9169
O -3.5502 -1.5542 -0.9169
Li 0.9853 0.0000 -2.3263
O 0.3800 -1.5542 -3.4945
```

Properties
* offset from the most stable computed form: 4 meV/atom
* calculated volume: 103.5 Å³/f.u.

Material: LiPdO4
Method: DFT, PBE
State: optimized geometry

Structure (extended XYZ):
```
48
Lattice="5.0984 0.0000 0.0000 -1.0181 10.0138 0.0000 -1.4110 -4.3411 9.7229" Properties=species:S:1:pos:R:3 pbc="T T T"
O 2.4399 -3.7119 9.0234
O 1.3236 -2.4234 6.9138
Pd 3.1303 -3.1642 7.2145
Li 0.9019 -2.6079 8.9084
O 0.8750 1.8344 0.6351
O 4.6374 -0.5724 1.8853
O 0.9563 7.9287 1.8254
Pd 1.7180 -0.4894 7.0922
O 3.1880 8.0061 4.3816
O 2.6286 1.2975 7.4293
O 3.2238 0.5533 4.0821
O -0.1305 0.0443 6.6896
O 4.2479 2.9622 2.7494
O 3.2339 7.0481 5.3691
O 2.5803 3.8048 9.0332
O 2.1866 6.5304 0.5491
O 2.1078 1.9326 1.4201
O 1.8598 3.5239 3.8828
O 0.9058 4.5993 1.3802
O -1.2475 5.8751 7.9708
O -0.0681 3.1656 7.7216
O -0.9912 4.2615 5.3038
O 3.4689 4.1818 0.1994
O 3.3158 5.5258 2.8146
O 2.5936 2.2853 6.4807
O 3.4914 -1.2954 7.7168
Li 0.7661 3.1972 6.0373
Li 3.1084 7.3980 2.3949
Li -0.0147 4.8279 3.1642
Li 0.6773 1.8876 2.8099
Pd 3.5730 2.4509 4.5706
O 0.9232 6.2517 4.0203
Li 2.8581 0.2964 2.1889
O 1.8026 -0.6981 5.1305
O 0.5280 -0.1347 2.8122
O 1.0851 -0.5445 8.9996
Pd 2.4662 5.3469 4.6004
Li -1.1147 -0.7389 9.5197
Pd 2.6420 3.8306 1.9821
O 0.3184 1.7502 4.8031
Pd -0.6143 9.8865 0.1038
Pd -1.7028 4.0041 7.2469
O 1.1541 9.1935 0.7503
O 1.1233 5.9204 0.3674
Li 0.7356 4.3828 8.8654
Pd -0.0668 -0.1834 4.7243
O -0.0259 7.2032 1.5620
O 1.7427 4.9763 6.4823
```

Properties
* offset from the most stable computed form: 4 meV/atom
* calculated volume: 62.0 Å³/f.u.

Material: Li2Pd2O5
Method: DFT, PBE
State: optimized geometry

Structure (extended XYZ):
```
18
Lattice="-7.9227 3.6605 -1.8459 4.7449 -7.5380 0.4904 -1.1645 -0.2444 5.1424" Properties=species:S:1:pos:R:3 pbc="T T T"
Pd -1.3156 -5.0550 1.5018
Li -0.7898 -1.9170 1.4768
O -5.0847 -1.8915 1.5254
O -2.9024 -2.0843 -0.9000
O 0.2772 -5.7471 2.1972
O -1.4754 -1.9773 4.7723
O -2.1342 -3.4003 1.9202
Pd -5.6766 -1.8368 3.3760
O -2.1630 -0.7325 1.9669
O -1.0530 -4.8186 -0.4096
Li -2.5077 -3.3742 3.8480
Pd -2.7794 0.9804 1.4223
O -5.4892 -0.0126 -1.5448
Li -3.2308 -2.0981 1.0361
Li -2.6689 -0.8927 3.8088
O -2.5744 0.7717 -0.5440
Pd 0.3660 -2.4372 4.6810
O 0.5414 -2.6196 2.7092
```

Properties
* offset from the most stable computed form: 0 meV/atom
* calculated volume: 116.5 Å³/f.u.

Material: Li6Pd4O11
Method: DFT, PBE
State: optimized geometry

Structure (extended XYZ):
```
21
Lattice="-0.0042 10.2037 -0.3339 2.2890 -2.4461 3.8806 3.3581 -0.9005 -3.5908" Properties=species:S:1:pos:R:3 pbc="T T T"
O 2.7061 6.4365 -2.7011
O 2.0935 3.0681 1.2223
O 1.3090 5.5175 -0.1153
O 4.3009 1.2939 0.0862
O 2.8659 5.5581 2.4571
O 4.2387 6.4164 -0.1450
O 2.8425 1.2209 -2.4975
Li 2.5508 2.2676 -0.5699
Pd 3.6570 8.1150 -3.3102
Pd 5.2609 2.9892 -0.5355
O 2.9356 0.3330 2.6647
Li 4.5128 0.4647 -1.6248
Pd 5.2297 -2.1683 -0.3977
Pd 0.3935 3.8321 0.4986
O 3.5609 -1.2645 -1.1519
Li 3.3867 -0.4278 0.8644
O 2.0365 8.2917 0.9575
Li 2.4063 7.1797 -0.7623
Li 3.1522 4.7977 0.5344
O 3.5662 3.7657 -1.2700
Li 4.4468 5.5128 -1.9224
```

Properties
* offset from the most stable computed form: 5 meV/atom
* calculated volume: 214.7 Å³/f.u.

Material: LiPdO3
Method: DFT, PBE
State: optimized geometry

Structure (extended XYZ):
```
10
Lattice="-0.2751 0.4378 5.1353 2.2041 -4.0712 -2.2815 3.5629 3.3022 -0.8166" Properties=species:S:1:pos:R:3 pbc="T T T"
O 1.2804 -0.0297 0.4461
Pd 1.8049 -3.3452 -1.0872
O 1.8455 -1.0858 3.3402
O 4.2115 -0.3015 1.5911
O 2.7766 -2.7792 0.5546
O 2.7153 2.4480 1.4825
Li 2.3810 0.4981 2.1103
O 3.6464 0.7546 -1.3030
Li 3.1109 -0.8293 -0.0732
Pd 0.1241 -0.2883 3.9410
```

Properties
* uncorrected energy: -5.06 eV/atom
* calculated volume: 53.1 Å³/f.u.

Material: LiPd2O4
Method: DFT, PBE
State: optimized geometry

Structure (extended XYZ):
```
14
Lattice="4.3065 -4.3077 0.0000 -4.3065 0.0000 -4.3077 4.3065 4.3077 0.0000" Properties=species:S:1:pos:R:3 pbc="T T T"
O 3.1394 1.1677 -3.1400
O -0.9861 0.9861 -3.3216
O 1.1671 3.1399 -3.1400
Li 2.1533 -2.1538 -2.1538
O 3.1394 3.1399 -1.1677
Pd 5.3831 -1.0769 -1.0769
O 1.1671 1.1677 -1.1677
Pd 3.2299 1.0769 -1.0769
O 0.9861 -0.9861 -3.3216
Pd -1.0766 -1.0769 -3.2308
Pd 1.0766 1.0769 -3.2308
Li 0.0000 0.0000 0.0000
O 5.2926 0.9861 -0.9861
O 3.3204 -0.9861 -0.9861
```

Properties
* uncorrected energy: -5.31 eV/atom
* calculated volume: 79.9 Å³/f.u.

Material: LiPdO3
Method: DFT, PBE
State: optimized geometry

Structure (extended XYZ):
```
10
Lattice="-2.5954 -4.3503 0.0111 -2.5954 4.3503 0.0111 1.7837 0.0000 -4.7282" Properties=species:S:1:pos:R:3 pbc="T T T"
O -2.7240 0.0529 -3.5757
Li -1.7035 4.3282 -2.3530
O 0.1803 -1.5456 -3.5669
O -0.6831 0.0529 -1.1303
O 0.1281 1.5613 -3.6173
Pd -2.5954 2.9146 0.0111
O -3.5874 -1.5456 -1.1391
Pd -2.5954 -2.8124 0.0111
Li -1.7035 1.1894 -2.3530
O -3.5351 1.5613 -1.0887
```

Properties
* uncorrected energy: -5.05 eV/atom
* calculated volume: 53.3 Å³/f.u.